[1]
Here is a relaxed Ac3MgHg3 crystal from the Alexandria database. Energies are from PBE.

Cell and atoms, written as POSCAR:
```
Ac3MgHg3
1.0
4.747 0.000 0.715
2.346 6.135 0.540
0.079 -0.033 15.589
Hg Ac Mg
6 6 2
Direct
0.879 0.166 0.076
0.968 0.826 0.239
0.121 0.834 0.924
0.864 0.722 0.549
0.032 0.174 0.761
0.136 0.278 0.451
0.514 0.354 0.618
0.486 0.646 0.382
0.740 0.749 0.772
0.400 0.281 0.919
0.600 0.719 0.081
0.260 0.251 0.228
0.763 0.063 0.410
0.237 0.937 0.590
```

Summary:
ΔE_f = -0.3788 eV/atom
Size of the total moment = 0.00 μB/f.u.
Excess energy over the best structure of this formula in the dataset = 0.0 meV/atom

=====

[2]
Here is a relaxed TmHf2Th crystal from the Alexandria database. Energies are from PBE.

Cell and atoms, written as POSCAR:
```
TmHf2Th
1.0
-3.305 -0.252 -0.590
-1.374 -3.010 -0.619
-3.336 -2.444 10.134
Hf Th Tm
2 1 1
Direct
0.749 0.749 0.752
0.251 0.251 0.248
0.000 0.000 0.000
0.500 0.500 0.500
```

Summary:
ΔE_f = 0.1989 eV/atom
Size of the total moment = 0.00 μB/f.u.
Excess energy over the best structure of this formula in the dataset = 61.4 meV/atom

=====

[3]
Here is a relaxed CaSb2Te2 crystal from the Alexandria database. Energies are from PBE.

Cell and atoms, written as POSCAR:
```
CaSb2Te2
1.0
-0.157 1.301 4.048
2.646 -3.141 1.112
9.387 5.340 0.885
Te Ca Sb
2 1 2
Direct
0.750 0.250 0.500
0.250 0.750 0.500
0.000 0.000 0.000
0.566 0.566 0.867
0.434 0.434 0.133
```

Summary:
ΔE_f (raw) = -0.80 eV/f.u.
Size of the total moment = 0.00 μB/f.u.
Excess energy over the best structure of this formula in the dataset = 219.9 meV/atom

=====

[4]
Here is a relaxed MgZnGa crystal from the Alexandria database. Energies are from PBE.

Cell and atoms, written as POSCAR:
```
MgZnGa
1.0
-5.656 -3.880 -0.239
0.898 -7.515 2.242
-3.031 -2.082 6.985
Ga Zn Mg
6 6 6
Direct
0.923 0.334 0.333
0.590 0.666 0.667
0.923 0.833 0.834
0.590 0.167 0.166
0.257 0.750 0.250
0.258 0.250 0.750
0.252 0.878 0.878
0.008 0.122 0.122
0.008 0.622 0.622
0.504 0.000 0.000
0.504 0.500 0.500
0.252 0.378 0.378
0.839 0.750 0.250
0.839 0.250 0.750
0.680 0.039 0.539
0.258 0.961 0.461
0.258 0.461 0.961
0.680 0.539 0.039
```

Summary:
ΔE_f = -0.1015 eV/atom
Size of the total moment = 0.00 μB/f.u.

=====

[5]
Here is a relaxed H2BrF2 crystal from the Alexandria database. Energies are from PBE.

Cell and atoms, written as POSCAR:
```
H2BrF2
1.0
5.901 0.000 0.000
0.000 5.901 0.000
-2.951 -2.951 3.960
F H Br
4 4 2
Direct
0.610 0.875 0.220
0.595 0.360 0.720
0.125 0.360 0.720
0.610 0.345 0.220
0.960 0.246 0.492
0.496 0.282 0.992
0.496 0.710 0.992
0.532 0.246 0.492
0.969 0.969 0.938
0.219 0.719 0.438
```

Summary:
Total DFT energy (no corrections) = -34.14 eV for the cell shown
Size of the total moment = 1.00 μB/f.u.

=====

[6]
Here is a relaxed CaGe2Pt3 crystal from the Alexandria database. Energies are from PBE.

Cell and atoms, written as POSCAR:
```
CaGe2Pt3
1.0
4.066 0.000 0.000
-2.033 7.977 -2.452
0.000 0.183 10.067
Pt Ge Ca
9 6 3
Direct
0.676 0.351 0.955
0.219 0.438 0.393
0.381 0.761 0.802
0.037 0.075 0.325
0.500 0.000 0.500
0.963 0.925 0.675
0.619 0.239 0.198
0.781 0.562 0.607
0.324 0.649 0.045
0.804 0.607 0.871
0.540 0.079 0.780
0.361 0.723 0.544
0.196 0.393 0.129
0.639 0.277 0.456
0.460 0.921 0.220
0.841 0.682 0.298
0.159 0.318 0.702
0.000 0.000 0.000
```

Summary:
ΔE_f = -0.7590 eV/atom
Size of the total moment = 0.00 μB/f.u.

=====

[7]
Here is a relaxed BaIn2Mo crystal from the Alexandria database. Energies are from PBE.

Cell and atoms, written as POSCAR:
```
BaIn2Mo
1.0
0.000 3.820 3.820
3.820 0.000 3.820
3.820 3.820 0.000
Mo In Ba
1 2 1
Direct
0.000 0.000 0.000
0.750 0.750 0.750
0.250 0.250 0.250
0.500 0.500 0.500
```

Summary:
ΔE_f = 0.4820 eV/atom
Size of the total moment = 3.45 μB/f.u.
Excess energy over the best structure of this formula in the dataset = 247.1 meV/atom

=====

[8]
Here is a relaxed Li2Tb2Ni15 crystal from the Alexandria database. Energies are from PBE.

Cell and atoms, written as POSCAR:
```
Li2Tb2Ni15
1.0
6.274 -0.037 -0.033
0.777 6.225 -0.033
0.777 0.682 6.188
Ni Tb Li
15 2 2
Direct
0.000 0.000 0.500
0.304 0.696 0.000
0.000 0.696 0.304
0.657 0.657 0.158
0.842 0.343 0.343
0.500 0.000 0.000
0.657 0.158 0.657
0.343 0.842 0.343
0.000 0.304 0.696
0.304 0.000 0.696
0.696 0.000 0.304
0.000 0.500 0.000
0.696 0.304 0.000
0.343 0.343 0.842
0.158 0.657 0.657
0.343 0.343 0.343
0.657 0.657 0.657
0.907 0.907 0.907
0.093 0.093 0.093
```

Summary:
ΔE_f = -0.2296 eV/atom
Size of the total moment = 5.18 μB/f.u.

=====

[9]
Here is a relaxed VTcB2 crystal from the Alexandria database. Energies are from PBE.

Cell and atoms, written as POSCAR:
```
VTcB2
1.0
-1.801 -0.400 -2.342
2.313 -3.549 -1.173
-3.488 -3.347 3.253
Tc B V
2 4 2
Direct
0.000 0.859 0.177
0.000 0.141 0.677
0.000 0.641 0.535
0.000 0.359 0.035
0.500 0.152 0.969
0.500 0.848 0.469
0.500 0.632 0.820
0.500 0.368 0.320
```

Summary:
ΔE_f = -0.6143 eV/atom
Size of the total moment = 0.00 μB/f.u.
Excess energy over the best structure of this formula in the dataset = 10.6 meV/atom

=====

[10]
Here is a relaxed CaPaS2 crystal from the Alexandria database. Energies are from PBE.

Cell and atoms, written as POSCAR:
```
CaPaS2
1.0
-1.842 1.968 2.722
0.229 -1.116 3.658
4.974 4.248 2.990
S Pa Ca
2 1 1
Direct
0.250 0.250 0.249
0.750 0.750 0.751
0.500 0.500 0.500
0.000 0.000 0.000
```

Summary:
ΔE_f (raw) = -6.93 eV/f.u.
Size of the total moment = 0.70 μB/f.u.
Excess energy over the best structure of this formula in the dataset = 0.0 meV/atom

=====

[11]
Here is a relaxed NaSbBr2 crystal from the Alexandria database. Energies are from PBE.

Cell and atoms, written as POSCAR:
```
NaSbBr2
1.0
0.000 3.814 3.814
3.814 0.000 3.814
3.814 3.814 0.000
Br Sb Na
2 1 1
Direct
0.250 0.250 0.250
0.750 0.750 0.750
0.500 0.500 0.500
0.000 0.000 0.000
```

Summary:
ΔE_f (raw) = -1.40 eV/f.u.
Size of the total moment = 0.00 μB/f.u.
Excess energy over the best structure of this formula in the dataset = 401.4 meV/atom

=====

[12]
Here is a relaxed NaH4N crystal from the Alexandria database. Energies are from PBE.

Cell and atoms, written as POSCAR:
```
NaH4N
1.0
-4.215 0.873 -0.664
-0.632 -5.559 -3.581
-1.677 -3.609 5.900
H Na N
8 2 2
Direct
0.008 0.878 0.240
0.992 0.622 0.240
0.008 0.378 0.760
0.992 0.122 0.760
0.804 0.756 0.069
0.196 0.244 0.931
0.804 0.256 0.931
0.196 0.744 0.069
0.500 0.750 0.626
0.500 0.250 0.374
0.000 0.250 0.846
0.000 0.750 0.154
```

Summary:
Total DFT energy (no corrections) = -45.97 eV for the cell shown
Size of the total moment = 0.00 μB/f.u.

=====

[13]
Here is a relaxed Pr2MgN crystal from the Alexandria database. Energies are from PBE.

Cell and atoms, written as POSCAR:
```
Pr2MgN
1.0
3.666 0.000 0.000
0.001 6.160 -1.407
-0.001 -0.100 9.049
N Pr Mg
2 4 2
Direct
0.278 0.843 0.552
0.778 0.343 0.552
0.278 0.563 0.712
0.778 0.623 0.391
0.778 0.063 0.712
0.278 0.123 0.392
0.278 0.342 0.052
0.778 0.844 0.052
```

Summary:
ΔE_f (raw) = -2.48 eV/f.u.
Size of the total moment = 0.57 μB/f.u.
Excess energy over the best structure of this formula in the dataset = 1.5 meV/atom

=====

[14]
Here is a relaxed Cs2GaI crystal from the Alexandria database. Energies are from PBE.

Cell and atoms, written as POSCAR:
```
Cs2GaI
1.0
-5.582 6.175 6.163
-6.148 -7.975 2.422
-3.181 -1.921 7.746
Cs Ga I
4 2 2
Direct
0.637 0.125 0.250
0.375 0.363 0.750
0.113 0.625 0.250
0.875 0.887 0.750
0.500 0.500 0.000
0.250 0.750 0.500
0.000 0.000 0.000
0.750 0.250 0.500
```

Summary:
ΔE_f (raw) = -1.42 eV/f.u.
Size of the total moment = 0.00 μB/f.u.
Excess energy over the best structure of this formula in the dataset = 45.1 meV/atom

=====

[15]
Here is a relaxed CaTaCd2Pb crystal from the Alexandria database. Energies are from PBE.

Cell and atoms, written as POSCAR:
```
CaTaCd2Pb
1.0
5.515 0.000 0.000
0.000 5.453 0.000
0.000 0.000 5.515
Cd Pb Ta Ca
2 1 1 1
Direct
0.500 0.000 0.000
0.000 0.000 0.500
0.000 0.000 0.000
0.000 0.500 0.000
0.500 0.500 0.500
```

Summary:
ΔE_f = 0.9976 eV/atom
Size of the total moment = 1.56 μB/f.u.

=====

[16]
Here is a relaxed LaMgW crystal from the Alexandria database. Energies are from PBE.

Cell and atoms, written as POSCAR:
```
LaMgW
1.0
6.153 0.009 0.000
4.073 4.612 0.000
-5.113 -2.311 2.526
Mg W La
1 1 1
Direct
0.301 0.301 0.000
0.684 0.684 0.000
0.014 0.014 0.000
```

Summary:
ΔE_f = 0.7238 eV/atom
Size of the total moment = 0.65 μB/f.u.
Excess energy over the best structure of this formula in the dataset = 180.5 meV/atom

=====

[17]
Here is a relaxed TeP4 crystal from the Alexandria database. Energies are from PBE.

Cell and atoms, written as POSCAR:
```
TeP4
1.0
-2.289 2.289 4.301
2.289 -2.289 4.301
2.289 2.289 -4.301
P Te
4 1
Direct
0.250 0.750 0.500
0.750 0.250 0.500
0.343 0.343 0.000
0.657 0.657 0.000
0.000 0.000 0.000
```

Summary:
ΔE_f (raw) = 2.01 eV/f.u.
Size of the total moment = 0.00 μB/f.u.
Excess energy over the best structure of this formula in the dataset = 0.0 meV/atom

=====

[18]
Here is a relaxed Ni5P crystal from the Alexandria database. Energies are from PBE.

Cell and atoms, written as POSCAR:
```
Ni5P
1.0
3.537 0.000 0.000
0.000 3.541 0.000
0.000 -1.771 5.124
Ni P
5 1
Direct
0.500 0.500 0.000
0.500 0.164 0.327
0.000 0.661 0.322
0.500 0.836 0.673
0.000 0.339 0.678
0.000 0.000 0.000
```

Summary:
ΔE_f = -0.1748 eV/atom
Size of the total moment = 0.74 μB/f.u.

=====

[19]
Here is a relaxed BaSc2Se crystal from the Alexandria database. Energies are from PBE.

Cell and atoms, written as POSCAR:
```
BaSc2Se
1.0
-3.235 -1.878 -2.252
2.454 -3.217 -0.843
-0.894 -4.702 5.206
Sc Ba Se
2 1 1
Direct
0.500 0.458 0.209
0.000 0.987 0.151
0.500 0.719 0.686
0.000 0.336 0.454
```

Summary:
ΔE_f (raw) = -2.46 eV/f.u.
Size of the total moment = 1.36 μB/f.u.

=====

[20]
Here is a relaxed HfPOs2O crystal from the Alexandria database. Energies are from PBE.

Cell and atoms, written as POSCAR:
```
HfPOs2O
1.0
-3.203 2.460 -2.337
-2.691 -3.799 -0.310
-1.510 0.829 2.943
Hf O Os P
1 1 2 1
Direct
0.500 0.500 0.500
0.000 0.000 0.500
0.500 0.000 0.000
0.000 0.500 0.000
0.000 0.000 0.000
```

Summary:
ΔE_f (raw) = 0.95 eV/f.u.
Size of the total moment = 0.00 μB/f.u.